The following is a DFT calculation (GGA-PBE) of K2NaHPb after structural relaxation.

Calculated values
calculated volume: 30.93 Å³ per atom
symmetry: P4/mmm, No. 123
polymorph energy (0 for the lowest one): 0.00 eV/f.u.

abc: 5.7000 5.7000 4.7600
angles: 90.00 90.00 90.00
Atoms (fractional coordinates):
K1 0.0000 0.5000 0.0000
K2 0.5000 0.0000 0.0000
Na1 0.0000 0.0000 0.5000
H1 0.0000 0.0000 0.0000
Pb1 0.5000 0.5000 0.5000